First-principles (PBE) data for an optimized crystal structure of LaErRu4, as listed in Alexandria.

Output
formation enthalpy at 0 K: -1.195 eV/f.u.
SG: No. 216

Cell lengths 5.3903, 5.3903, 5.3903 Å; angles 60.00, 60.00, 60.00 degrees
Positions (direct):
Ru: 0.6254 0.6254 0.6254
Ru: 0.1237 0.6254 0.6254
Ru: 0.6254 0.1237 0.6254
Ru: 0.6254 0.6254 0.1237
Er: 0.0000 0.0000 0.0000
La: 0.2500 0.2500 0.2500



First-principles (PBE) data for an optimized crystal structure of La3ErRu, as listed in Alexandria.

Output
formation enthalpy at 0 K: -0.240 eV/f.u.
SG: No. 221

Cell lengths 5.5730, 5.5730, 5.5730 Å; angles 90.00, 90.00, 90.00 degrees
Positions (direct):
La: 0.0000 0.5000 0.0000
La: 0.0000 0.0000 0.5000
La: 0.5000 0.0000 0.0000
Ru: 0.0000 0.0000 0.0000
Er: 0.5000 0.5000 0.5000



Computed uncorrected energy, in the same sequence as the records: -47.789 -28.861 eV/cell.